(1)
# Nd8Ho2Mg

An optimized crystal structure of Nd8Ho2Mg (PBE, Alexandria via LeMat-Bulk).

The structure in POSCAR format:
```
Nd8Ho2Mg
1.0
9.197 -2.564 0.000
9.197 2.564 0.000
-2.140 0.000 7.801
Nd Ho Mg
8 2 1
Direct
0.046 0.046 0.224 Nd
0.137 0.137 0.683 Nd
0.319 0.319 0.590 Nd
0.409 0.409 0.051 Nd
0.591 0.591 0.949 Nd
0.681 0.681 0.410 Nd
0.863 0.863 0.317 Nd
0.954 0.954 0.776 Nd
0.225 0.225 0.134 Ho
0.775 0.775 0.866 Ho
0.500 0.500 0.500 Mg
```

Results
uncorrected energy = -48.79 eV/cell
energy above the lowest structure with this stoichiometry = 0.0 meV/atom
DFT formation energy = 0.0092 eV per atom

=====

(2)
# MgNpAg2Se4

An optimized crystal structure of MgNpAg2Se4 (PBE, Alexandria via LeMat-Bulk).

The structure in POSCAR format:
```
MgNpAg2Se4
1.0
6.812 0.000 0.000
0.000 4.132 0.000
-2.402 0.000 6.568
Mg Np Ag Se
1 1 2 4
Direct
0.000 0.000 0.000 Mg
0.000 0.500 0.500 Np
0.500 0.000 0.500 Ag
0.500 0.500 0.000 Ag
0.236 0.500 0.238 Se
0.244 0.000 0.750 Se
0.756 0.000 0.250 Se
0.764 0.500 0.762 Se
```

Results
uncorrected energy = -39.62 eV/cell
E_form (uncorrected) = -0.681 eV/atom